LiPrNi4: optimized geometry, GGA-PBE.

a b c (Å): 4.9749 4.9749 4.9749
angles (deg): 60.00 60.00 60.00
Closest atoms and distances in Å follow each position.
Positions (direct):
Li1 0.0000 0.0000 0.0000  12 Ni 2.91, 4 Pr 3.05
Ni1 0.6260 0.6260 0.1221  6 Ni 2.47-2.51
Ni2 0.6260 0.1221 0.6260  6 Ni 2.47-2.51
Ni3 0.1221 0.6260 0.6260  6 Ni 2.47-2.51
Ni4 0.6260 0.6260 0.6260  6 Ni 2.47-2.51
Pr1 0.2500 0.2500 0.2500  12 Ni 2.92, 4 Li 3.05

Output
- DFT total energy: -0.3738 Ry per atom
- Crystal system: cubic


LiPrNiSe3: optimized geometry, GGA-PBE.

a b c (Å): 6.5979 6.5979 11.0187
angles (deg): 90.00 90.00 145.17
Closest atoms and distances in Å follow each position.
Positions (direct):
Li1 0.7273 0.2727 0.2500  6 Se 2.76-3.03
Li2 0.2727 0.7273 0.7500  6 Se 2.76-3.03
Ni1 0.0163 0.9837 0.2500  4 Se 2.38-2.39
Ni2 0.9837 0.0163 0.7500  4 Se 2.38-2.39
Pr1 0.5000 0.5000 0.0000  6 Se 2.95-2.98
Pr2 0.5000 0.5000 0.5000  6 Se 2.95-2.98
Se1 0.1514 0.8486 0.0975  1 Ni 2.39
Se2 0.4103 0.5897 0.2500  2 Ni 2.38
Se3 0.1514 0.8486 0.4025  1 Ni 2.39
Se4 0.8486 0.1514 0.5975  1 Ni 2.39
Se5 0.5897 0.4103 0.7500  2 Ni 2.38
Se6 0.8486 0.1514 0.9025  1 Ni 2.39

Output
- DFT total energy: -0.3547 Ry per atom
- Crystal system: orthorhombic


LiPrNiTe3: optimized geometry, GGA-PBE.

a b c (Å): 7.5150 7.5150 11.2047
angles (deg): 90.00 90.00 32.01
Closest atoms and distances in Å follow each position.
Positions (direct):
Li1 0.7637 0.7637 0.2500  6 Te 2.97-3.19
Li2 0.2363 0.2363 0.7500  6 Te 2.97-3.19
Ni1 0.4872 0.4872 0.2500  4 Te 2.57-2.60
Ni2 0.5128 0.5128 0.7500  4 Te 2.57-2.60
Pr1 0.0000 0.0000 0.0000  6 Te 3.12-3.16, 4 Ni 3.49
Pr2 0.0000 0.0000 0.5000  6 Te 3.12-3.16, 4 Ni 3.49
Te1 0.3534 0.3534 0.0989  1 Ni 2.57
Te2 0.0958 0.0958 0.2500  2 Ni 2.60
Te3 0.3534 0.3534 0.4011  1 Ni 2.57
Te4 0.6466 0.6466 0.5989  1 Ni 2.57
Te5 0.9042 0.9042 0.7500  2 Ni 2.60
Te6 0.6466 0.6466 0.9011  1 Ni 2.57

Output
- DFT total energy: -0.3230 Ry per atom
- Crystal system: orthorhombic


Li2Sc2NiSn2Pt: optimized geometry, GGA-PBE.

a b c (Å): 4.5366 4.5366 6.4336
angles (deg): 90.00 90.00 90.00
Closest atoms and distances in Å follow each position.
Positions (direct):
Li1 0.5000 0.5000 0.0000  4 Sn 2.74, 4 Sc 2.76
Li2 0.0000 0.0000 0.5000  4 Sc 2.80, 4 Sn 2.82
Ni1 0.0000 0.0000 0.0000  4 Sn 2.74, 4 Sc 2.76
Pt1 0.5000 0.5000 0.5000  4 Sc 2.80, 4 Sn 2.82
Sc1 0.0000 0.5000 0.2448  4 Li 2.76-2.80, 2 Ni 2.76, 2 Pt 2.80
Sc2 0.5000 0.0000 0.7552  4 Li 2.76-2.80, 2 Ni 2.76, 2 Pt 2.80
Sn1 0.5000 0.0000 0.2401  4 Li 2.74-2.82, 2 Ni 2.74, 2 Pt 2.82
Sn2 0.0000 0.5000 0.7599  4 Li 2.74-2.82, 2 Ni 2.74, 2 Pt 2.82

Output
- DFT total energy: -0.3880 Ry per atom
- Crystal system: tetragonal


Li4Si2NiPt: optimized geometry, GGA-PBE.

a b c (Å): 4.0734 4.0734 5.8012
angles (deg): 90.00 90.00 90.00
Closest atoms and distances in Å follow each position.
Positions (direct):
Li1 0.5000 0.5000 0.0000  4 Li 2.46, 4 Si 2.46
Li2 0.0000 0.5000 0.2369  4 Li 2.46-2.55, 2 Ni 2.46, 2 Pt 2.55
Li3 0.0000 0.0000 0.5000  4 Si 2.54, 4 Li 2.55
Li4 0.5000 0.0000 0.7631  4 Li 2.46-2.55, 2 Ni 2.46, 2 Pt 2.55
Ni1 0.0000 0.0000 0.0000  4 Li 2.46, 4 Si 2.46
Pt1 0.5000 0.5000 0.5000  4 Si 2.54, 4 Li 2.55
Si1 0.5000 0.0000 0.2381  2 Ni 2.46, 5 Li 2.46-2.76, 2 Pt 2.54
Si2 0.0000 0.5000 0.7619  5 Li 2.46-2.76, 2 Ni 2.46, 2 Pt 2.54

Output
- DFT total energy: -0.3147 Ry per atom
- Crystal system: tetragonal


Li4NiSn2Pt: optimized geometry, GGA-PBE.

a b c (Å): 4.4035 4.4035 6.2272
angles (deg): 90.00 90.00 90.00
Closest atoms and distances in Å follow each position.
Positions (direct):
Li1 0.5000 0.5000 0.0000  4 Sn 2.65, 4 Li 2.69
Li2 0.5000 0.0000 0.2482  4 Li 2.69-2.70, 2 Ni 2.69, 2 Pt 2.70
Li3 0.0000 0.0000 0.5000  4 Li 2.70, 4 Sn 2.75
Li4 0.0000 0.5000 0.7518  4 Li 2.69-2.70, 2 Ni 2.69, 2 Pt 2.70
Ni1 0.0000 0.0000 0.0000  4 Sn 2.65, 4 Li 2.69
Pt1 0.5000 0.5000 0.5000  4 Li 2.70, 4 Sn 2.75
Sn1 0.0000 0.5000 0.2356  4 Li 2.65-2.75, 2 Ni 2.65, 2 Pt 2.75
Sn2 0.5000 0.0000 0.7644  4 Li 2.65-2.75, 2 Ni 2.65, 2 Pt 2.75

Output
- DFT total energy: -0.2874 Ry per atom
- Crystal system: tetragonal